(1)
Here is crystalline Li4Mn5CuO12 at its relaxed geometry from Alexandria via LeMat-Bulk. Energies are from PBE+U.

Output
Its crystal system is monoclinic. The value obtained for the size of the total moment is 16.00 μB per formula unit. For the energy above the lowest structure with this stoichiometry, the calculation gives 0.000 eV/f.u. The density of states at the Fermi level is 2.5 states/eV/cell.

abc: 5.049 5.049 10.648
angles: 80.69 80.69 116.55
Each line ends with the local moment (μB).
Atoms (fractional coordinates):
Li  0.677  0.343  0.744  0.00
Li  0.657  0.323  0.256  0.00
Li  0.343  0.677  0.744  0.00
Li  0.323  0.657  0.256  0.00
Mn  0.834  0.166  0.500  3.88
Mn  0.334  0.666  0.000  3.27
Mn  0.666  0.334  0.000  3.27
Mn  0.166  0.834  0.500  3.88
Mn  0.500  0.500  0.500  3.25
Cu  0.000  0.000  0.000  -0.61
O  0.939  0.290  0.100  -0.20
O  0.710  0.061  0.900  -0.20
O  0.864  0.527  0.390  -0.02
O  0.527  0.864  0.390  -0.02
O  0.473  0.136  0.610  -0.02
O  0.759  0.759  0.596  -0.07
O  0.136  0.473  0.610  -0.02
O  0.290  0.939  0.100  -0.20
O  0.554  0.554  0.112  -0.05
O  0.061  0.710  0.900  -0.20
O  0.446  0.446  0.888  -0.05
O  0.241  0.241  0.404  -0.07



(2)
Here is crystalline MnIN2O at its relaxed geometry from Alexandria via LeMat-Bulk. Energies are from PBE+U.

Output
Its crystal system is tetragonal. The calculation puts the total energy at -24.10 eV/f.u. The value obtained for the size of the total moment is 0.11 μB per formula unit. The density of states at the Fermi level is 3.4 states/eV/cell.

abc: 3.977 3.977 3.622
angles: 90.00 90.00 90.00
Each line ends with the local moment (μB).
Atoms (fractional coordinates):
I  0.500  0.500  0.500  0.00
Mn  0.000  0.000  0.000  -0.64
O  0.000  0.000  0.500  0.03
N  0.000  0.500  0.000  0.19
N  0.500  0.000  0.000  0.19